A relaxed CsMnF4 crystal. Source: Alexandria, functional PBE+U.

Results
Final energy: -5.28 eV/atom

abc: 6.4358 8.0649 7.2989
angles: 49.40 75.36 66.31
Last column: nearest neighbours and their distance in Å.
Fractional coordinates of all 12 atoms:
Cs 0.7313 0.3564 0.2967  7 F 2.94-3.19
Cs 0.2687 0.6436 0.7033  7 F 2.94-3.19
Mn 0.2468 0.0113 0.9854  4 F 1.85-1.93
Mn 0.7532 0.9887 0.0146  4 F 1.85-1.93
F 0.6245 0.1986 0.0758  1 Mn 1.85
F 0.9420 0.1692 0.7688  1 Mn 1.93
F 0.8743 0.7842 0.9451  1 Mn 1.85
F 0.4524 0.1798 0.7632  1 Mn 1.93
F 0.5476 0.8202 0.2368  1 Mn 1.93
F 0.1257 0.2158 0.0549  1 Mn 1.85
F 0.0580 0.8308 0.2312  1 Mn 1.93
F 0.3755 0.8014 0.9242  1 Mn 1.85

A relaxed Cs2Mn2F crystal. Source: Alexandria, functional PBE+U.

Results
ΔE to the lowest computed polymorph: 256 meV/atom

abc: 7.6913 7.6913 7.3367
angles: 90.00 90.00 90.00
Last column: nearest neighbours and their distance in Å.
Fractional coordinates of all 10 atoms:
Cs 0.3126 0.8126 0.0000  2 F 2.80
Cs 0.8126 0.6874 0.0000  2 F 2.80
Cs 0.6874 0.1874 0.0000  2 F 2.80
Cs 0.1874 0.3126 0.0000  2 F 2.80
Mn 0.1427 0.6427 0.5000  1 Mn 3.10
Mn 0.6427 0.8573 0.5000  1 Mn 3.10
Mn 0.8573 0.3573 0.5000  1 Mn 3.10
Mn 0.3573 0.1427 0.5000  1 Mn 3.10
F 0.0000 0.0000 0.0000  4 Cs 2.80
F 0.5000 0.5000 0.0000  4 Cs 2.80

A relaxed Cs3MnF4 crystal. Source: Alexandria, functional PBE+U.

Results
Final energy: -4.49 eV/atom

abc: 6.5202 6.5202 6.5202
angles: 99.74 114.54 114.54
Last column: nearest neighbours and their distance in Å.
Fractional coordinates of all 8 atoms:
Cs 0.0000 0.5000 0.5000  4 F 2.88
Cs 0.5000 0.7500 0.2500  8 F 3.27-3.30
Cs 0.5000 0.2500 0.7500  8 F 3.27-3.30
Mn 0.0000 0.0000 0.0000  4 F 2.10
F 0.0000 0.7860 0.2081  1 Mn 2.10
F 0.4221 0.2140 0.2140  1 Mn 2.10
F 0.5779 0.7919 0.7919  1 Mn 2.10
F 0.0000 0.2081 0.7860  1 Mn 2.10

A relaxed CsMn2F6 crystal. Source: Alexandria, functional PBE+U.

Results
Final energy: -5.63 eV/atom

abc: 5.6056 5.6056 6.4036
angles: 90.00 90.00 120.00
Last column: nearest neighbours and their distance in Å.
Fractional coordinates of all 9 atoms:
Cs 0.0000 0.0000 0.0000  6 F 3.03
Mn 0.3333 0.6667 0.5000  6 F 2.06
Mn 0.6667 0.3333 0.5000  6 F 2.06
F 0.6067 0.0000 0.3250  2 Mn 2.06
F 0.3933 0.3933 0.3250  2 Mn 2.06
F 0.0000 0.6067 0.3250  2 Mn 2.06
F 0.6067 0.6067 0.6750  2 Mn 2.06
F 0.0000 0.3933 0.6750  2 Mn 2.06
F 0.3933 0.0000 0.6750  2 Mn 2.06

A relaxed Cs4Mn3F10 crystal. Source: Alexandria, functional PBE+U.

Results
Final energy: -5.36 eV/atom

abc: 4.3981 4.3981 16.5337
angles: 97.64 97.64 90.00
Last column: nearest neighbours and their distance in Å.
Fractional coordinates of all 17 atoms:
Cs 0.5677 0.5677 0.1354  12 F 3.11-3.12
Cs 0.4323 0.4323 0.8646  12 F 3.11-3.12
Cs 0.2968 0.2968 0.5935  9 F 3.10-3.11
Cs 0.7032 0.7032 0.4065  9 F 3.10-3.11
Mn 0.1354 0.1354 0.2708  6 F 2.13-2.20
Mn 0.8646 0.8646 0.7292  6 F 2.13-2.20
Mn 0.0000 0.0000 0.0000  6 F 2.20
F 0.1358 0.6358 0.2717  2 Mn 2.20
F 0.0676 0.0676 0.1352  2 Mn 2.20
F 0.6358 0.1358 0.2717  2 Mn 2.20
F 0.8642 0.3642 0.7283  2 Mn 2.20
F 0.3642 0.8642 0.7283  2 Mn 2.20
F 0.9324 0.9324 0.8648  2 Mn 2.20
F 0.2009 0.2009 0.4018  1 Mn 2.13
F 0.7991 0.7991 0.5982  1 Mn 2.13
F 0.0000 0.5000 0.0000  2 Mn 2.20
F 0.5000 0.0000 0.0000  2 Mn 2.20

A relaxed Cs2Mn2F7 crystal. Source: Alexandria, functional PBE+U.

Results
Final energy: -5.35 eV/atom

abc: 3.9889 7.8141 7.8141
angles: 116.94 90.02 90.02
Last column: nearest neighbours and their distance in Å.
Fractional coordinates of all 11 atoms:
Cs 0.5000 0.7649 0.2351  8 F 3.12-3.29
Cs 0.5000 0.2351 0.7649  8 F 3.12-3.29
Mn 0.0007 0.2526 0.2526  5 F 1.93-2.06
Mn 0.9993 0.7474 0.7474  5 F 1.93-2.06
F 0.0007 0.4269 0.1403  1 Mn 1.93
F 0.9993 0.8597 0.5731  1 Mn 1.93
F 0.9993 0.5731 0.8597  1 Mn 1.93
F 0.0007 0.1403 0.4269  1 Mn 1.93
F 0.4993 0.7177 0.7177  2 Mn 2.01
F 0.0000 0.0000 0.0000  2 Mn 2.06
F 0.5007 0.2823 0.2823  2 Mn 2.01